[1]
{
  "formula": "LiBeTe2",
  "functional": "PBE",
  "state": "relaxed",
  "cell": [[-3.479, 3.315, -2.700], [2.155, -0.956, -4.982], [-2.797, -2.521, 4.026]],
  "species": ["Be", "Te", "Te", "Li"],
  "frac_coords": [[0.750, 0.250, 0.500], [0.958, 0.958, 0.000], [0.542, 0.542, 0.000], [0.250, 0.750, 0.500]],
  "dos_at_fermi_per_ev_atom": 0.332,
  "e_form_raw_mev_per_atom": -136
}

[2]
{
  "formula": "Lu2ZnNi",
  "functional": "PBE",
  "state": "relaxed",
  "cell": [[-1.933, 0.732, 3.179], [-1.747, -2.813, 1.847], [6.172, -2.118, 6.501]],
  "species": ["Zn", "Lu", "Lu", "Ni"],
  "frac_coords": [[0.000, 0.000, 0.000], [0.113, 0.113, 0.660], [0.887, 0.887, 0.340], [0.500, 0.500, 0.500]],
  "dos_at_fermi_per_ev_atom": 0.532,
  "e_above_lowest_polymorph_mev_per_atom": 476.7,
  "formation_energy_ev_per_atom": 0.048
}

[3]
{
  "formula": "Er3ScNi2",
  "functional": "PBE",
  "state": "relaxed",
  "cell": [[-0.928, -0.394, -3.650], [0.023, -8.052, -1.100], [-9.272, -2.337, 0.647]],
  "species": ["Er", "Er", "Er", "Er", "Er", "Er", "Sc", "Sc", "Ni", "Ni", "Ni", "Ni"],
  "frac_coords": [[0.581, 0.284, 0.555], [0.582, 0.769, 0.066], [0.156, 0.932, 0.756], [0.844, 0.068, 0.244], [0.418, 0.231, 0.934], [0.419, 0.716, 0.445], [0.841, 0.568, 0.750], [0.159, 0.432, 0.250], [0.767, 0.411, 0.056], [0.769, 0.909, 0.553], [0.231, 0.091, 0.447], [0.233, 0.589, 0.944]],
  "dos_at_fermi_per_ev_atom": 1.233,
  "formation_energy_ev_per_atom": -0.302
}

[4]
{
  "formula": "Nd2DyIn3Te6",
  "functional": "PBE",
  "state": "relaxed",
  "cell": [[-5.034, -0.830, 5.867], [3.880, -6.174, -2.698], [6.344, 3.760, 4.258]],
  "species": ["Te", "Te", "Te", "Te", "Te", "Te", "Nd", "Nd", "In", "In", "In", "Dy"],
  "frac_coords": [[0.250, 0.250, 0.774], [0.074, 0.400, 0.223], [0.750, 0.750, 0.226], [0.926, 0.600, 0.777], [0.400, 0.074, 0.223], [0.600, 0.926, 0.777], [0.334, 0.666, 0.000], [0.666, 0.334, 0.000], [0.169, 0.831, 0.500], [0.500, 0.500, 0.500], [0.831, 0.169, 0.500], [0.000, 0.000, 0.000]],
  "dos_at_fermi_per_ev_atom": 0.105,
  "e_form_raw_mev_per_atom": -984
}

[5]
{
  "formula": "NdMg2OsN4",
  "functional": "PBE",
  "state": "relaxed",
  "cell": [[3.344, 0.000, 0.000], [-1.672, 5.777, 0.000], [0.000, 0.000, 10.886]],
  "species": ["N", "N", "N", "N", "N", "N", "N", "N", "Os", "Os", "Mg", "Mg", "Mg", "Mg", "Nd", "Nd"],
  "frac_coords": [[0.278, 0.557, 0.120], [0.722, 0.443, 0.880], [0.418, 0.837, 0.750], [0.000, 0.000, 0.500], [0.722, 0.443, 0.620], [0.278, 0.557, 0.380], [0.582, 0.163, 0.250], [0.000, 0.000, 0.000], [0.178, 0.355, 0.250], [0.822, 0.645, 0.750], [0.614, 0.228, 0.468], [0.614, 0.228, 0.032], [0.386, 0.772, 0.532], [0.386, 0.772, 0.968], [0.082, 0.165, 0.750], [0.918, 0.835, 0.250]],
  "dos_at_fermi_per_ev_atom": 0.433,
  "e_form_raw_mev_per_atom": -382
}

[6]
{
  "formula": "Hf3NbIn",
  "functional": "PBE",
  "state": "relaxed",
  "cell": [[-3.038, 2.580, -3.154], [-3.609, 0.122, 3.576], [1.891, 4.377, 1.759]],
  "species": ["Hf", "Hf", "Hf", "In", "Nb"],
  "frac_coords": [[0.000, 0.500, 0.000], [0.000, 0.000, 0.500], [0.500, 0.000, 0.000], [0.500, 0.500, 0.500], [0.000, 0.000, 0.000]],
  "dos_at_fermi_per_ev_atom": 1.372,
  "e_above_lowest_polymorph_mev_per_atom": 922.5,
  "formation_energy_ev_per_atom": 0.907
}

For each record above, in turn, the calculated raw total energy values are -3.117, -3.976, -5.566, -4.417, -6.943, -7.626 eV/atom.
For each record above, in turn, the calculated magnetization values are 0.000, 0.000, 0.000, 0.000, 0.055, 0.000 μB per atom.